[1]
An optimized crystal structure of Dy3AlSn, computed with PBE-GGA.

It has space group Imma (No. 74), with a = 5.8665 Å, b = 10.9079 Å, c = 8.4309 Å, α = 90.00°, β = 90.00° and γ = 90.00°. Symmetry generates all atoms from Dy at (0.0000, 0.1042, 0.1266), Dy at (0.2500, 0.2500, 0.7500), Al at (0.0000, 0.2500, 0.4273) and Sn at (0.0000, 0.0000, 0.5000).

The energy is -22.82 eV per formula unit. For the energy of formation, the calculation gives -0.25 eV per atom.

[2]
An optimized crystal structure of AcCeNiS4, computed with PBE-GGA.

It has space group P2_1/m (No. 11), with a = 6.6245 Å, b = 5.8200 Å, c = 8.2278 Å, α = 90.00°, β = 107.16° and γ = 90.00°. Symmetry generates all atoms from Ac at (0.2335, 0.2500, 0.4322), Ce at (0.2437, 0.2500, 0.9410), Ni at (0.2649, 0.7500, 0.1789), S at (0.0734, 0.7500, 0.3683), S at (0.0797, 0.7500, 0.9086) and S at (0.4856, 0.5096, 0.7595).

The energy is -43.58 eV per formula unit. For the energy relative to the elements, uncorrected, the calculation gives -1085.3 kJ/mol of formula units.

[3]
An optimized crystal structure of HfP, computed with PBE-GGA.

It has space group Amm2 (No. 38), with a = 3.6696 Å, b = 11.8901 Å, c = 6.7579 Å, α = 90.00°, β = 90.00° and γ = 90.00°. Symmetry generates all atoms from Hf at (0.0000, 0.0000, 0.0000), Hf at (0.5000, 0.2058, 0.8271), P at (0.0000, 0.2072, 0.1023) and P at (0.5000, 0.0000, 0.7388).

The energy is -16.86 eV per formula unit. For the energy of formation, the calculation gives -0.75 eV per atom.

[4]
An optimized crystal structure of Ag3TeW, computed with PBE-GGA.

It has space group Pm-3m (No. 221), with a = 5.1148 Å, b = 5.1148 Å, c = 5.1148 Å, α = 90.00°, β = 90.00° and γ = 90.00°. Symmetry generates all atoms from Ag at (0.0000, 0.0000, 0.5000), Te at (0.5000, 0.5000, 0.5000) and W at (0.0000, 0.0000, 0.0000).

Its energy above the most stable polymorph in this dataset is 0.0 meV per atom. The energy is -16.62 eV per formula unit. For the energy relative to the elements, uncorrected, the calculation gives 774.3 kJ/mol of formula units.

What did the first record say?
An optimized crystal structure of Dy3AlSn, computed with PBE-GGA.

It has space group Imma (No. 74), with a = 5.8665 Å, b = 10.9079 Å, c = 8.4309 Å, α = 90.00°, β = 90.00° and γ = 90.00°. Symmetry generates all atoms from Dy at (0.0000, 0.1042, 0.1266), Dy at (0.2500, 0.2500, 0.7500), Al at (0.0000, 0.2500, 0.4273) and Sn at (0.0000, 0.0000, 0.5000).

The energy is -22.82 eV per formula unit. For the energy of formation, the calculation gives -0.25 eV per atom.

Question: Among the records above, which one has the highest energy?
Answer: Ag3TeW

Question: Among the records above, which one has the highest energy?
Answer: Ag3TeW